{
  "formula": "As2WSeBr",
  "functional": "PBE",
  "state": "optimized geometry",
  "relative_energy_mev_per_atom": 1562,
  "final_energy_ev_per_atom": -3.608,
  "sg": "P4/mmm",
  "cell": [[4.9261, 0.0000, 0.0000], [0.0000, 4.9261, 0.0000], [0.0000, 0.0000, 5.0912]],
  "species": ["As", "As", "W", "Se", "Br"],
  "fractional_positions": [[0.0000, 0.5000, 0.0000], [0.5000, 0.0000, 0.0000], [0.0000, 0.0000, 0.5000], [0.5000, 0.5000, 0.5000], [0.5000, 0.5000, 0.0000]]
}


{
  "formula": "TiBiTeI2",
  "functional": "PBE",
  "state": "optimized geometry",
  "relative_energy_mev_per_atom": 1002,
  "final_energy_ev_per_atom": -2.618,
  "sg": "P4/mmm",
  "cell": [[5.8069, 0.0000, 0.0000], [0.0000, 5.8069, 0.0000], [0.0000, 0.0000, 6.2395]],
  "species": ["Ti", "Bi", "Te", "I", "I"],
  "fractional_positions": [[0.0000, 0.0000, 0.0000], [0.5000, 0.5000, 0.0000], [0.5000, 0.5000, 0.5000], [0.0000, 0.5000, 0.5000], [0.5000, 0.0000, 0.5000]]
}


{
  "formula": "Tc3WI",
  "functional": "PBE",
  "state": "optimized geometry",
  "relative_energy_mev_per_atom": 659,
  "final_energy_ev_per_atom": -6.576,
  "sg": "Pm-3m",
  "cell": [[4.7011, 0.0000, 0.0000], [0.0000, 4.7011, 0.0000], [0.0000, 0.0000, 4.7011]],
  "species": ["Tc", "Tc", "Tc", "W", "I"],
  "fractional_positions": [[0.0000, 0.0000, 0.5000], [0.0000, 0.5000, 0.0000], [0.5000, 0.0000, 0.0000], [0.5000, 0.5000, 0.5000], [0.0000, 0.0000, 0.0000]]
}


{
  "formula": "Li3Zn2Au6",
  "functional": "PBE",
  "state": "optimized geometry",
  "ef_ev_per_atom": -0.23,
  "final_energy_ev_per_atom": -2.767,
  "sg": "I4/mmm",
  "cell": [[-1.9950, 1.9950, 12.5614], [1.9950, -1.9950, 12.5614], [1.9950, 1.9950, -12.5614]],
  "species": ["Li", "Li", "Li", "Zn", "Zn", "Au", "Au", "Au", "Au", "Au", "Au"],
  "fractional_positions": [[0.0000, 0.0000, 0.0000], [0.1562, 0.1562, 0.0000], [0.8438, 0.8438, 0.0000], [0.3627, 0.3627, 0.0000], [0.6373, 0.6373, 0.0000], [0.0680, 0.5680, 0.5000], [0.2627, 0.2627, 0.0000], [0.4320, 0.9320, 0.5000], [0.5680, 0.0680, 0.5000], [0.7373, 0.7373, 0.0000], [0.9320, 0.4320, 0.5000]]
}